# 1
# Nd3Si4Pt, relaxed, DFT GGA-PBE
# formation energy from raw total energies	-714	meV/atom
data_Nd3Si4Pt
_chemical_formula_sum 'Nd6 Si8 Pt2'
_symmetry_space_group_name_H-M 'I m m m'
_symmetry_Int_Tables_number 71
_symmetry_space_group_name_Hall '-I 2 2'
_cell_length_a 4.5138
_cell_length_b 5.7141
_cell_length_c 14.7313
_cell_angle_alpha 90.00
_cell_angle_beta 90.00
_cell_angle_gamma 90.00
loop_
_atom_site_label
_atom_site_type_symbol
_atom_site_fract_x
_atom_site_fract_y
_atom_site_fract_z
_atom_site_occupancy
Nd1 Nd 0.0000 0.0000 0.0000 1
Nd2 Nd 0.0000 0.5000 0.1914 1
Si1 Si 0.0000 0.2925 0.3810 1
Pt1 Pt 0.0000 0.0000 0.5000 1

# 2
# Ca2CoRu, relaxed, DFT GGA-PBE
# calculated formation energy	487	meV/atom
data_Ca2CoRu
_chemical_formula_sum 'Ca8 Co4 Ru4'
_symmetry_space_group_name_H-M 'F -4 3 m'
_symmetry_Int_Tables_number 216
_symmetry_space_group_name_Hall 'F -4 2 3'
_cell_length_a 6.7667
_cell_length_b 6.7667
_cell_length_c 6.7667
_cell_angle_alpha 90.00
_cell_angle_beta 90.00
_cell_angle_gamma 90.00
loop_
_atom_site_label
_atom_site_type_symbol
_atom_site_fract_x
_atom_site_fract_y
_atom_site_fract_z
_atom_site_occupancy
Ca1 Ca 0.0000 0.0000 0.0000 1
Ca2 Ca 0.2500 0.2500 0.2500 1
Co1 Co 0.2500 0.2500 0.7500 1
Ru1 Ru 0.0000 0.0000 0.5000 1

# 3
# Nb2GeMo, relaxed, DFT GGA-PBE
# calculated formation energy	471	meV/atom
data_Nb2GeMo
_chemical_formula_sum 'Nb8 Ge4 Mo4'
_symmetry_space_group_name_H-M 'I -4 2 d'
_symmetry_Int_Tables_number 122
_symmetry_space_group_name_Hall 'I -4 2bw'
_cell_length_a 7.2313
_cell_length_b 7.2313
_cell_length_c 5.5570
_cell_angle_alpha 90.00
_cell_angle_beta 90.00
_cell_angle_gamma 90.00
loop_
_atom_site_label
_atom_site_type_symbol
_atom_site_fract_x
_atom_site_fract_y
_atom_site_fract_z
_atom_site_occupancy
Nb1 Nb 0.2496 0.2500 0.1250 1
Ge1 Ge 0.0000 0.0000 0.0000 1
Mo1 Mo 0.0000 0.0000 0.5000 1

no.,VASP energy (hartree per atom),total magnetic moment (μB/cell)
1,-0.219,0.000
2,-0.169,9.812
3,-0.310,0.000